No. 1
HoEr3Cu after structural relaxation, computed with PBE.

Results
The energy relative to the elements comes out at 0.13 eV/atom. The value obtained for the total energy is -4.347 eV/atom. The total magnetization is 0.0 μB per formula unit. The density of states at the Fermi level is 6.8 states/eV per cell.

abc: 5.316 5.316 5.316
angles: 90.00 90.00 90.00
Space group Pm-3m (No. 221)
Unique sites:
Ho (0.000, 0.000, 0.000) x1
Er (0.000, 0.500, 0.500) x3
Cu (0.500, 0.500, 0.500) x1

No. 2
HoErCu3 after structural relaxation, computed with PBE.

Results
The energy relative to the elements comes out at -0.26 eV/atom. The value obtained for the total energy is -4.545 eV/atom. The total magnetization is 0.0 μB per formula unit. The density of states at the Fermi level is 13.6 states/eV per cell.

abc: 3.541 25.450 4.287
angles: 90.00 90.00 90.00
Space group Cmcm (No. 63)
Unique sites:
Ho (0.000, 0.072, 0.250) x4
Er (0.000, 0.205, 0.750) x4
Cu (0.000, 0.328, 0.750) x4
Cu (0.000, 0.382, 0.250) x4
Cu (0.000, 0.477, 0.250) x4

No. 3
HoErCu10 after structural relaxation, computed with PBE.

Results
The energy relative to the elements comes out at -0.19 eV/atom. The value obtained for the total energy is -4.370 eV/atom. The total magnetization is 0.0 μB per formula unit. The density of states at the Fermi level is 7.7 states/eV per cell.

abc: 4.095 5.034 8.638
angles: 90.00 90.00 90.00
Space group Pmmm (No. 47)
Unique sites:
Ho (0.000, 0.000, 0.000) x1
Er (0.000, 0.500, 0.500) x1
Cu (0.000, 0.000, 0.334) x2
Cu (0.000, 0.500, 0.167) x2
Cu (0.500, 0.000, 0.500) x1
Cu (0.500, 0.250, 0.250) x4
Cu (0.500, 0.500, 0.000) x1

No. 4
Ho2ErCu after structural relaxation, computed with PBE.

Results
The energy relative to the elements comes out at 0.03 eV/atom. The value obtained for the total energy is -4.423 eV/atom. Its distance to the lowest polymorph of the same formula is 0.146 eV/atom. The total magnetization is 0.0 μB per formula unit. The density of states at the Fermi level is 14.5 states/eV per cell.

abc: 3.5441 3.5441 29.5512
angles: 90.00 90.00 120.00
Space group R-3m (No. 166, hexagonal axes)
Unique sites:
Ho (0.0000, 0.0000, 0.2357) x6
Er (0.0000, 0.0000, 0.0000) x3
Cu (0.0000, 0.0000, 0.5000) x3

No. 5
Ho2Er2Cu3 after structural relaxation, computed with PBE.

Results
The energy relative to the elements comes out at -0.14 eV/atom. The value obtained for the total energy is -4.511 eV/atom. The total magnetization is 0.0 μB per formula unit. The density of states at the Fermi level is 16.7 states/eV per cell.

abc: 4.8371 4.8371 23.7250
angles: 90.00 90.00 120.00
Space group R-3m (No. 166, hexagonal axes)
Unique sites:
Ho (0.0000, 0.0000, 0.1255) x6
Er (0.0000, 0.0000, 0.3757) x6
Cu (0.0000, 0.0000, 0.0000) x3
Cu (0.0000, 0.0000, 0.2507) x6

No. 6
Ho3Er2Cu2 after structural relaxation, computed with PBE.

Results
The energy relative to the elements comes out at -0.13 eV/atom. The value obtained for the total energy is -4.562 eV/atom. The total magnetization is 0.0 μB per formula unit. The density of states at the Fermi level is 17.5 states/eV per cell.

abc: 12.373 3.591 8.935
angles: 90.00 116.64 90.00
Space group C2/m (No. 12)
Unique sites:
Ho (0.000, 0.000, 0.000) x2
Ho (0.114, 0.000, 0.443) x4
Er (0.155, 0.500, 0.813) x4
Cu (0.172, 0.500, 0.228) x4